No. 1
Below is a geometry-optimized Rb2SrUCl8 structure, with properties calculated at the PBE level.

Unit cell a=7.2501 b=7.2168 c=9.0024 alpha=89.92 beta=89.90 gamma=92.25
With the nearest neighbours (Å) after each atom.
Positions (direct):
Rb 0.4993 0.4999 0.7467  6 Cl 3.16-3.47
Rb 0.5007 0.5001 0.2533  6 Cl 3.16-3.47
Sr 0.0000 0.0000 0.5000  6 Cl 2.79-3.08
U 0.0000 0.0000 0.0000  6 Cl 2.60-2.67
Cl 0.1491 0.8102 0.2206  1 U 2.67
Cl 0.7133 0.7720 0.9991  1 U 2.60
Cl 0.8530 0.1915 0.2206  1 U 2.67
Cl 0.8509 0.1898 0.7794  1 U 2.67
Cl 0.2867 0.2280 0.0009  1 U 2.60
Cl 0.1470 0.8085 0.7794  1 U 2.67
Cl 0.7043 0.7416 0.4999  1 Sr 2.79
Cl 0.2957 0.2584 0.5001  1 Sr 2.79

Output
* raw formation energy: -1.9830 eV per atom
* N(E_F): 0.392 states/eV/atom
* V: 39.22 Å³/atom



No. 2
Below is a geometry-optimized Rb2SrVCl6 structure, with properties calculated at the PBE level.

Unit cell a=7.5326 b=7.5326 c=7.5324 alpha=60.00 beta=60.00 gamma=90.00
With the nearest neighbours (Å) after each atom.
Positions (direct):
Sr 0.0000 0.0000 0.0000  6 Cl 2.84
Cl 0.2665 0.2665 0.4669  1 V 2.49
Cl 0.7335 0.7335 0.5331  1 V 2.49
Cl 0.2665 0.2665 0.0000  1 V 2.49
Cl 0.7335 0.7335 0.0000  1 V 2.49
Cl 0.7335 0.2665 0.0000  1 V 2.49
Cl 0.2665 0.7335 0.0000  1 V 2.49
Rb 0.7500 0.2500 0.5000  12 Cl 3.77
Rb 0.2500 0.7500 0.5000  12 Cl 3.77
V 0.5000 0.5000 0.0000  6 Cl 2.49

Output
* raw formation energy: -1.8562 eV per atom
* N(E_F): 0.000 states/eV/atom
* V: 30.22 Å³/atom



No. 3
Below is a geometry-optimized Rb3SrV2Cl9 structure, with properties calculated at the PBE level.

Unit cell a=7.3371 b=7.3371 c=9.2098 alpha=90.00 beta=90.00 gamma=120.00
With the nearest neighbours (Å) after each atom.
Positions (direct):
Rb 0.3333 0.6667 0.6968  9 Cl 3.50-3.67
Rb 0.0000 0.0000 0.0000  12 Cl 3.64-3.67
Rb 0.6667 0.3333 0.3032  9 Cl 3.50-3.67
Sr 0.0000 0.0000 0.5000  6 Cl 2.83
V 0.3333 0.6667 0.1555  6 Cl 2.46-2.56
V 0.6667 0.3333 0.8445  6 Cl 2.46-2.56
Cl 0.8239 0.1761 0.6883  1 V 2.46
Cl 0.8239 0.6477 0.6883  1 V 2.46
Cl 0.3523 0.1761 0.6883  1 V 2.46
Cl 0.6477 0.8239 0.3117  1 V 2.46
Cl 0.1761 0.3523 0.3117  1 V 2.46
Cl 0.1761 0.8239 0.3117  1 V 2.46
Cl 0.5000 0.0000 0.0000  2 V 2.56
Cl 0.0000 0.5000 0.0000  2 V 2.56
Cl 0.5000 0.5000 0.0000  2 V 2.56

Output
* raw formation energy: -1.7091 eV per atom
* V: 28.62 Å³/atom